DFT (PBEsol) results for an optimized crystal structure of CoRe2Ir.

As for the crystal system: orthorhombic. The total energy is -11.227 eV/atom. For the energy of formation from the pure elements, the calculation gives -16 kJ/mol of atoms.

a = 2.6723 Å, b = 4.2461 Å, c = 4.6918 Å
α = 90.00°, β = 90.00°, γ = 90.00°
Element x y z (fractional)
Re 0.0000 0.0000 0.0331
Re 0.0000 0.5000 0.7011
Ir 0.5000 0.5000 0.2197
Co 0.5000 0.0000 0.5460



DFT (PBEsol) results for an optimized crystal structure of CoReIr2.

As for the crystal system: tetragonal. The total energy is -10.270 eV/atom. For the energy of formation from the pure elements, the calculation gives -9 kJ/mol of atoms.

a = 3.7794 Å, b = 3.7794 Å, c = 4.5730 Å
α = 114.41°, β = 114.41°, γ = 90.00°
Site moments in Bohr magnetons follow the coordinates.
Element x y z (fractional)
Re 0.0000 0.0000 0.0000  -0.13
Ir 0.7500 0.2500 0.5000  0.09
Ir 0.2500 0.7500 0.5000  0.09
Co 0.5000 0.5000 0.0000  0.81



The evaluated E above lowest polymorph for the records listed, in turn: 0 6 meV per atom.